(1)
The following is a PBE calculation of a geometry-optimized RbTiHg2F8 structure, from the Alexandria database.

abc: 5.1429 5.5924 7.5365
angles: 89.85 89.94 91.71
Sites, in units of the cell vectors:
F: 0.1476 0.8079 0.8227
F: 0.5416 0.7355 0.5003
F: 0.8531 0.1926 0.8222
F: 0.7014 0.7839 0.0002
F: 0.1469 0.8074 0.1778
F: 0.4584 0.2645 0.4997
F: 0.8524 0.1921 0.1773
F: 0.2986 0.2161 0.9998
Hg: 0.4994 0.4994 0.7553
Hg: 0.5006 0.5006 0.2447
Rb: 0.0000 0.0000 0.5000
Ti: 0.0000 0.0000 0.0000

Results
- crystal system = triclinic
- E_form (uncorrected) (eV/atom) = -2.360
- symmetry = P-1 (2)

(2)
The following is a PBE calculation of a geometry-optimized RbTiHgF6 structure, from the Alexandria database.

abc: 6.3748 6.3748 10.0710
angles: 90.00 90.00 120.00
Sites, in units of the cell vectors:
Hg: 0.6667 0.3333 0.7500
Hg: 0.3333 0.6667 0.2500
F: 0.6640 0.5777 0.1432
F: 0.3360 0.4223 0.8568
F: 0.9138 0.5777 0.3568
F: 0.0862 0.4223 0.6432
F: 0.6640 0.0862 0.3568
F: 0.5777 0.9138 0.8568
F: 0.9138 0.3360 0.1432
F: 0.4223 0.0862 0.1432
F: 0.0862 0.6640 0.8568
F: 0.3360 0.9138 0.6432
F: 0.4223 0.3360 0.3568
F: 0.5777 0.6640 0.6432
Rb: 0.0000 0.0000 0.5000
Rb: 0.0000 0.0000 0.0000
Ti: 0.3333 0.6667 0.7500
Ti: 0.6667 0.3333 0.2500

Results
- crystal system = trigonal
- E_form (uncorrected) (eV/atom) = -2.740
- symmetry = P-31c (163)

Question: Number 1 is which compound?
Answer: RbTiHg2F8

Question: Which formula does entry 1 have?
Answer: RbTiHg2F8

Question: E_form (uncorrected) of number 2 (RbTiHgF6)?
Answer: -2.740 eV/atom